DFT (GGA-PBE) results for crystalline Co3GeH at its relaxed geometry.

Output
Fermi-level density of states = 19.134 states/eV per cell
energy = -0.2109 hartree per atom

Lattice parameters (Å, degrees): 4.6255 6.6717 6.6900 90.00 90.00 90.00
Space group Pnma (No. 62)
Unique sites:
Co1 0.0376 0.0766 0.1573
Co2 0.2374 0.2500 0.8174
Ge1 0.0000 0.0000 0.5000
H1 0.0560 0.7500 0.0491